# 1
Compound: YCu3Ge
Source: the Alexandria database
Functional: PBE-GGA
Structure: optimized geometry

The structure in extended XYZ format:
```
5
Lattice="-2.605 -0.070 4.306 -4.253 -0.755 -2.585 0.681 -4.976 0.332" Properties=species:S:1:pos:R:3 pbc="T T T"
Y 0.000 0.000 0.000
Ge -3.088 -2.900 1.027
Cu -2.126 -0.377 -1.292
Cu 0.341 -2.488 0.166
Cu -1.303 -0.035 2.153
```

Values from the calculation:
Offset from the most stable computed form = 116.4 kJ per mole of atoms
Energy of formation from the pure elements = 1.302 eV per atom


# 2
Compound: Ru4RhPb
Source: the Alexandria database
Functional: PBE-GGA
Structure: optimized geometry

The structure in extended XYZ format:
```
6
Lattice="0.000 3.654 3.654 3.654 0.000 3.654 3.654 3.654 0.000" Properties=species:S:1:pos:R:3 pbc="T T T"
Ru 2.732 4.577 4.577
Ru 4.577 4.577 2.732
Ru 4.577 2.732 4.577
Ru 2.732 2.732 2.732
Rh 0.000 0.000 0.000
Pb 5.481 5.481 5.481
```

Values from the calculation:
Energy of formation from the pure elements = 0.665 eV per atom


# 3
Compound: Sc6TlZn2
Source: the Alexandria database
Functional: PBE-GGA
Structure: optimized geometry

The structure in extended XYZ format:
```
18
Lattice="-5.443 0.203 -5.927 0.218 -7.256 3.480 -1.818 5.195 5.874" Properties=species:S:1:pos:R:3 pbc="T T T"
Sc -4.219 -0.904 4.120
Sc -2.824 -0.954 -0.693
Sc -1.911 2.211 5.201
Sc -5.132 -4.068 -1.774
Sc -5.141 -2.486 1.176
Sc -1.902 0.628 2.250
Sc -2.729 -0.436 7.082
Sc -4.315 -1.422 -3.655
Sc -5.027 0.833 1.176
Sc -2.017 -2.691 2.251
Sc -2.605 -3.448 5.688
Sc -4.439 1.590 -2.261
Tl -0.800 -1.030 4.677
Tl 0.000 0.000 0.000
Zn -4.229 1.928 3.472
Zn -2.814 -3.786 -0.045
Zn -4.657 3.462 -0.034
Zn -2.605 1.936 -0.019
```

Values from the calculation:
Energy of formation from the pure elements = -0.219 eV per atom


# 4
Compound: HoEr4Pd2
Source: the Alexandria database
Functional: PBE-GGA
Structure: optimized geometry

The structure in extended XYZ format:
```
14
Lattice="6.306 0.000 0.000 0.000 7.175 -3.009 0.000 0.017 8.039" Properties=species:S:1:pos:R:3 pbc="T T T"
Ho 1.576 6.078 5.293
Ho 4.729 1.115 -0.263
Er 3.177 2.937 4.971
Er 1.576 1.770 2.054
Er 4.729 5.423 2.976
Er 6.282 2.937 4.971
Er 4.729 0.157 3.091
Er 0.024 4.256 0.059
Er 3.129 4.256 0.059
Er 1.576 7.036 1.939
Pd 1.576 1.723 7.247
Pd 4.729 5.470 -2.217
Pd 4.729 2.750 2.223
Pd 1.576 4.442 2.807
```

Values from the calculation:
Offset from the most stable computed form = 0.0 kJ per mole of atoms
Energy of formation from the pure elements = -0.456 eV per atom


# 5
Compound: Be2CdC
Source: the Alexandria database
Functional: PBE-GGA
Structure: optimized geometry

The structure in extended XYZ format:
```
8
Lattice="-3.620 4.127 0.218 -2.997 -2.821 3.639 -1.291 2.268 4.842" Properties=species:S:1:pos:R:3 pbc="T T T"
Be -2.055 1.762 1.747
Be -3.553 0.351 3.567
Be -4.199 1.485 5.988
Be -6.009 3.549 6.097
C -3.308 0.653 1.928
C -3.798 0.050 5.205
Cd 0.000 0.000 0.000
Cd -4.110 3.524 3.495
```

Values from the calculation:
Offset from the most stable computed form = 0.0 kJ per mole of atoms
Energy of formation from the pure elements = 0.375 eV per atom


# 6
Compound: LiZr2GeH
Source: the Alexandria database
Functional: PBE-GGA
Structure: optimized geometry

The structure in extended XYZ format:
```
5
Lattice="4.342 0.000 0.000 0.000 4.342 0.000 0.000 0.000 3.971" Properties=species:S:1:pos:R:3 pbc="T T T"
H 0.000 0.000 0.000
Ge 2.171 2.171 1.985
Zr 0.000 2.171 0.000
Zr 2.171 0.000 0.000
Li 0.000 0.000 1.985
```

Values from the calculation:
Uncorrected energy = -5.85 eV per atom


# 7
Compound: BaHgAu2
Source: the Alexandria database
Functional: PBE-GGA
Structure: optimized geometry

The structure in extended XYZ format:
```
4
Lattice="-2.574 -1.713 2.464 1.022 -3.536 -1.391 6.041 -4.028 3.512" Properties=species:S:1:pos:R:3 pbc="T T T"
Au 5.844 -4.009 3.318
Au 3.729 -3.800 1.254
Hg 4.011 -6.529 2.822
Ba 0.479 -2.748 1.762
```

Values from the calculation:
Energy of formation from the pure elements = -0.409 eV per atom


# 8
Compound: Ac5La4Nd2
Source: the Alexandria database
Functional: PBE-GGA
Structure: optimized geometry

The structure in extended XYZ format:
```
11
Lattice="3.734 0.000 0.000 0.000 10.782 -6.793 0.000 -5.948 14.955" Properties=species:S:1:pos:R:3 pbc="T T T"
Ac 0.000 4.800 0.161
Ac 0.000 1.267 1.399
Ac 0.000 5.391 -3.397
Ac 0.000 3.566 6.763
Ac 0.000 0.033 8.001
La 1.867 4.143 3.397
La 1.867 -3.815 12.782
La 1.867 0.690 4.765
La 1.867 8.648 -4.620
Nd 0.000 -3.493 9.471
Nd 0.000 8.326 -1.309
```

Values from the calculation:
Offset from the most stable computed form = 0.0 kJ per mole of atoms
Energy of formation from the pure elements = 0.132 eV per atom


# 9
Compound: TbPuPaTl
Source: the Alexandria database
Functional: PBE-GGA
Structure: optimized geometry

The structure in extended XYZ format:
```
4
Lattice="-2.260 3.017 3.719 -4.748 2.175 -0.879 -4.248 -1.767 2.622" Properties=species:S:1:pos:R:3 pbc="T T T"
Tl 0.000 0.000 0.000
Pa -5.628 1.713 2.731
Tb -2.814 0.856 1.365
Pu -8.442 2.569 4.096
```

Values from the calculation:
Energy of formation from the pure elements = 0.210 eV per atom


# 10
Compound: DyMg3Pd2
Source: the Alexandria database
Functional: PBE-GGA
Structure: optimized geometry

The structure in extended XYZ format:
```
12
Lattice="-0.042 2.677 3.062 -5.839 -5.996 2.460 8.859 -0.949 0.951" Properties=species:S:1:pos:R:3 pbc="T T T"
Dy 3.451 -2.979 5.353
Dy -0.473 -1.288 1.120
Mg 0.915 -3.519 3.089
Mg -0.004 -3.733 5.965
Mg 5.533 -0.961 3.618
Mg -2.554 -3.307 2.855
Mg 2.982 -0.535 0.508
Mg 2.064 -0.748 3.384
Pd 7.486 0.534 2.338
Pd -4.507 -4.802 4.136
Pd -0.762 -1.603 4.092
Pd 3.741 -2.665 2.381
```

Values from the calculation:
Energy of formation from the pure elements = -0.553 eV per atom


# 11
Compound: SmGdCo
Source: the Alexandria database
Functional: PBE-GGA
Structure: optimized geometry

The structure in extended XYZ format:
```
3
Lattice="-2.751 -1.093 -3.715 -2.017 -4.291 -0.280 -4.693 -0.461 0.573" Properties=species:S:1:pos:R:3 pbc="T T T"
Gd 0.000 0.000 0.000
Co -2.365 -1.461 -0.856
Sm -4.730 -2.923 -1.711
```

Values from the calculation:
Offset from the most stable computed form = 3.9 kJ per mole of atoms
Energy of formation from the pure elements = -0.012 eV per atom


# 12
Compound: Na2SeS4
Source: the Alexandria database
Functional: PBE-GGA
Structure: optimized geometry

The structure in extended XYZ format:
```
7
Lattice="-3.060 2.564 -2.836 -3.716 -1.139 2.980 -2.093 6.485 3.893" Properties=species:S:1:pos:R:3 pbc="T T T"
Na -3.046 2.237 1.081
Na -5.823 5.673 2.956
S -2.531 4.532 2.600
S -6.338 3.378 1.437
S -1.858 -0.569 1.490
S -1.530 1.282 -1.418
Se 0.000 0.000 0.000
```

Values from the calculation:
Offset from the most stable computed form = 28.2 kJ per mole of atoms
Formation energy from raw total energies = -4 meV per atom